Record 1
DFT (PBE) results for crystalline SmScCBr at its relaxed geometry. Values from VASP.

The structure in Quantum ESPRESSO input format:
```
&SYSTEM
  ibrav = 0, nat = 4, ntyp = 4
/
ATOMIC_SPECIES
Sc 44.96 Sc.upf
C 12.01 C.upf
Br 79.90 Br.upf
Sm 150.36 Sm.upf
CELL_PARAMETERS angstrom
-1.093 -3.027 -1.620
0.955 -0.060 3.473
-6.212 3.440 1.768
ATOMIC_POSITIONS crystal
Sc 0.086 0.941 0.043
C 0.321 0.559 0.895
Br 0.954 0.375 0.345
Sm 0.516 0.156 0.687
```

D(E_F): 2.239 states/eV per cell
Total magnetization: 0.000 μB/f.u.
Formation energy from raw total energies: -0.926 eV/atom


Record 2
DFT (PBE) results for crystalline Sm2ScC2Br2 at its relaxed geometry. Values from VASP.

The structure in Quantum ESPRESSO input format:
```
&SYSTEM
  ibrav = 0, nat = 7, ntyp = 4
/
ATOMIC_SPECIES
Sm 150.36 Sm.upf
Br 79.90 Br.upf
C 12.01 C.upf
Sc 44.96 Sc.upf
CELL_PARAMETERS angstrom
4.295 0.000 0.000
0.000 4.295 0.000
-2.148 -2.148 8.024
ATOMIC_POSITIONS crystal
Sm 0.402 0.402 0.805
Sm 0.598 0.598 0.195
Br 0.184 0.184 0.368
Br 0.816 0.816 0.632
C 0.500 0.000 0.000
C 0.000 0.500 0.000
Sc 0.000 0.000 0.000
```

D(E_F): 3.021 states/eV per cell
Total magnetization: 0.000 μB/f.u.
Formation energy from raw total energies: -0.776 eV/atom


Record 3
DFT (PBE) results for crystalline ScTa2CBr at its relaxed geometry. Values from VASP.

The structure in Quantum ESPRESSO input format:
```
&SYSTEM
  ibrav = 0, nat = 5, ntyp = 4
/
ATOMIC_SPECIES
Br 79.90 Br.upf
C 12.01 C.upf
Ta 180.95 Ta.upf
Sc 44.96 Sc.upf
CELL_PARAMETERS angstrom
5.016 0.000 0.000
0.000 4.050 0.000
0.000 0.000 5.016
ATOMIC_POSITIONS crystal
Br 0.500 0.500 0.500
C 0.000 0.500 0.000
Ta 0.500 0.000 0.000
Ta 0.000 0.000 0.500
Sc 0.000 0.000 0.000
```

D(E_F): 5.891 states/eV per cell
Total magnetization: 0.000 μB/f.u.
Formation energy from raw total energies: 2.126 eV/atom


Record 4
DFT (PBE) results for crystalline TbScCBr at its relaxed geometry. Values from VASP.

The structure in Quantum ESPRESSO input format:
```
&SYSTEM
  ibrav = 0, nat = 4, ntyp = 4
/
ATOMIC_SPECIES
Br 79.90 Br.upf
Tb 158.93 Tb.upf
Sc 44.96 Sc.upf
C 12.01 C.upf
CELL_PARAMETERS angstrom
3.578 0.000 0.000
-1.789 3.099 0.000
-1.789 -1.032 6.909
ATOMIC_POSITIONS crystal
Br 0.959 0.378 0.351
Tb 0.516 0.156 0.688
Sc 0.085 0.941 0.041
C 0.317 0.557 0.889
```

D(E_F): 2.017 states/eV per cell
Total magnetization: 0.000 μB/f.u.
Formation energy from raw total energies: -0.953 eV/atom


Record 5
DFT (PBE) results for crystalline Tb2ScC2Br2 at its relaxed geometry. Values from VASP.

The structure in Quantum ESPRESSO input format:
```
&SYSTEM
  ibrav = 0, nat = 7, ntyp = 4
/
ATOMIC_SPECIES
Sc 44.96 Sc.upf
C 12.01 C.upf
Tb 158.93 Tb.upf
Br 79.90 Br.upf
CELL_PARAMETERS angstrom
4.262 0.000 0.000
0.000 4.262 0.000
-2.131 -2.131 7.892
ATOMIC_POSITIONS crystal
Sc 0.000 0.000 0.000
C 0.500 0.000 0.000
C 0.000 0.500 0.000
Tb 0.596 0.596 0.193
Tb 0.404 0.404 0.807
Br 0.185 0.185 0.370
Br 0.815 0.815 0.630
```

D(E_F): 3.408 states/eV per cell
Total magnetization: 0.000 μB/f.u.
Formation energy from raw total energies: -0.757 eV/atom


Record 6
DFT (PBE) results for crystalline ScTlCBr2 at its relaxed geometry. Values from VASP.

The structure in Quantum ESPRESSO input format:
```
&SYSTEM
  ibrav = 0, nat = 5, ntyp = 4
/
ATOMIC_SPECIES
C 12.01 C.upf
Sc 44.96 Sc.upf
Br 79.90 Br.upf
Tl 204.38 Tl.upf
CELL_PARAMETERS angstrom
5.965 0.000 0.000
0.000 4.036 0.000
0.000 0.000 5.965
ATOMIC_POSITIONS crystal
C 0.000 0.500 0.000
Sc 0.500 0.500 0.500
Br 0.500 0.000 0.000
Br 0.000 0.000 0.500
Tl 0.000 0.000 0.000
```

D(E_F): 7.579 states/eV per cell
Total magnetization: 2.207 μB/f.u.
Formation energy from raw total energies: 0.919 eV/atom


Which value of D(E_F) does entry 5 give?
3.408 states/eV per cell